Material: Li4ThHg
Method: DFT, PBE
State: relaxed

```
data_Li4ThHg
_chemical_formula_sum 'Li16 Th4 Hg4'
_symmetry_space_group_name_H-M 'F -4 3 m'
_symmetry_Int_Tables_number 216
_symmetry_space_group_name_Hall 'F -4 2 3'
_cell_length_a 7.7501
_cell_length_b 7.7501
_cell_length_c 7.7501
_cell_angle_alpha 90.00
_cell_angle_beta 90.00
_cell_angle_gamma 90.00
loop_
_atom_site_label
_atom_site_type_symbol
_atom_site_fract_x
_atom_site_fract_y
_atom_site_fract_z
Li1 Li 0.1229 0.1229 0.3771
Th1 Th 0.0000 0.0000 0.0000
Hg1 Hg 0.2500 0.2500 0.7500
```

Values from the calculation:
Magnetic moment = 0.000 μB per formula unit
ΔH_f (0 K) = 8 kJ/mol of formula units
V = 465 Å³ per cell
Density of states at the Fermi level = 6.4 states/eV per cell
Density = 6.57 g/cm3


Material: LiTh2Hg6
Method: DFT, PBE
State: relaxed

```
data_LiTh2Hg6
_chemical_formula_sum 'Li2 Th4 Hg12'
_symmetry_space_group_name_H-M 'C 1 2/m 1'
_symmetry_Int_Tables_number 12
_cell_length_a 15.2491
_cell_length_b 8.7689
_cell_length_c 3.3296
_cell_angle_alpha 90.00
_cell_angle_beta 90.42
_cell_angle_gamma 90.00
loop_
_symmetry_equiv_pos_as_xyz
'x,y,z'
'-x,-y,-z'
'-x,y,-z'
'x,-y,z'
'x+1/2,y+1/2,z'
'-x+1/2,-y+1/2,-z'
'-x+1/2,y+1/2,-z'
'x+1/2,-y+1/2,z'
loop_
_atom_site_label
_atom_site_type_symbol
_atom_site_fract_x
_atom_site_fract_y
_atom_site_fract_z
Li1 Li 0.0000 0.0000 0.0000
Th1 Th 0.1664 0.5000 0.9998
Hg1 Hg 0.0000 0.3265 0.5000
Hg2 Hg 0.1635 0.1634 0.4967
```

Values from the calculation:
Magnetic moment = 0.000 μB per formula unit
ΔH_f (0 K) = -201 kJ/mol of formula units
V = 445 Å³ per cell
Density of states at the Fermi level = 7.6 states/eV per cell
Density = 12.49 g/cm3